Below is a relaxed structure of TaMnSe2, with properties calculated at the PBEsol level.

Results
- Energy relative to the elements, uncorrected: 182 meV/atom
- Energy above the lowest structure with this stoichiometry: 582 meV/atom
- Mass density: 9239 kg/m³

Cell: 6.603 7.702 3.124 Å, 90.00 116.99 90.00°
Space group C2/m (No. 12)
Symmetry-distinct sites (fractional):
Ta1 0.000 0.000 0.000
Mn1 0.000 0.500 0.000
Se1 0.250 0.250 0.500